# 1
Entry from the Alexandria database: a geometry-optimized Tb2Er3Cu3 structure (PBE-GGA).

Cell: 3.5252 5.0530 20.7934 Å, 90.00 90.00 90.00°
With the nearest neighbours (Å) after each atom.
Space group Immm (No. 71)
One atom of each set of equivalent atoms:
Tb  0.0000  0.0000  0.2257 [4 per cell]  2 Cu 2.93, 4 Tb 3.24
Er  0.0000  0.0000  0.0000 [2 per cell]  8 Cu 2.94-3.08
Er  0.0000  0.5000  0.1150 [4 per cell]  6 Cu 2.97-3.08
Cu  0.0000  0.0000  0.5000 [2 per cell]  8 Er 2.97-3.08
Cu  0.0000  0.5000  0.3869 [4 per cell]  2 Tb 2.93, 6 Er 2.94-3.08

Energy of formation (eV/atom): -0.15
Calculated volume (Å³/f.u.): 185

***

# 2
Entry from the Alexandria database: a geometry-optimized BaLiZn structure (PBE-GGA).

Cell: 4.4096 4.4096 9.8130 Å, 90.00 90.00 90.00°
With the nearest neighbours (Å) after each atom.
Space group P4/nmm (No. 129, origin choice 2)
One atom of each set of equivalent atoms:
Ba  0.2500  0.2500  0.1738 [2 per cell]  4 Zn 3.43
Li  0.2500  0.7500  0.5000 [2 per cell]  4 Zn 2.82, 4 Li 3.12
Zn  0.2500  0.2500  0.6797 [2 per cell]  4 Li 2.82

Energy of formation (eV/atom): -0.09
Energy above the most stable polymorph in this dataset (meV per atom): 0
Calculated volume (Å³/f.u.): 95